Material: Tb3Fe3B8
Method: DFT, PBE
State: optimized geometry

Cell and atoms, written as POSCAR:
```
Tb3Fe3B8
1.0
3.173 0.000 0.000
1.587 7.516 0.631
1.587 2.653 7.060
Tb Fe B
3 3 8
Cartesian
3.173 5.084 3.845
3.173 2.280 1.725
3.173 7.889 5.966
1.587 0.000 0.000
1.587 6.522 1.944
1.587 3.647 5.747
3.173 2.568 4.647
3.173 7.601 3.043
3.173 5.171 1.205
3.173 4.998 6.485
4.760 7.373 3.695
1.587 2.795 3.996
4.760 5.563 6.089
1.587 4.606 1.602
```

Computed properties:
* calculated total energy: -6.8527 eV per atom
* ΔE_f: -0.23 eV/atom
* SG: No. 71
* DOS(E_F): 0.460 states/eV per atom